1.
Material: BeAg2
Method: DFT, GGA-PBEsol
State: relaxed

D(E_F) = 0.3020 states/eV per atom
calculated formation energy = 0.15 eV per atom
magnetic moment = 0.00 μB/f.u.
E_tot = -3.390 eV/atom

abc: 4.444 12.867 2.949
angles: 90.00 90.00 90.00
Space group Cmmm (No. 65)
Inequivalent atoms, fractional coordinates:
Be 0.000 0.160 0.000 x4
Ag 0.000 0.000 0.500 x2
Ag 0.000 0.316 0.500 x4
Ag 0.000 0.500 0.000 x2

2.
Material: Be4AgBr
Method: DFT, GGA-PBEsol
State: relaxed

energy relative to the elements, uncorrected = 0.621 eV per atom
D(E_F) = 0.3901 states/eV per atom
magnetic moment = 0.00 μB/f.u.
E_tot = -2.909 eV/atom

abc: 6.675 6.675 6.675
angles: 90.00 90.00 90.00
Space group F-43m (No. 216)
Inequivalent atoms, fractional coordinates:
Be 0.123 0.123 0.123 x16
Ag 0.250 0.250 0.750 x4
Br 0.000 0.000 0.500 x4

3.
Material: BeAgBr
Method: DFT, GGA-PBEsol
State: relaxed

energy relative to the elements, uncorrected = 0.690 eV per atom
D(E_F) = 0.1303 states/eV per atom
magnetic moment = 0.00 μB/f.u.
E_tot = -2.371 eV/atom
polymorph energy (0 for the lowest one) = 0.383 eV per atom

abc: 6.280 6.280 6.280
angles: 90.00 90.00 90.00
Space group F-43m (No. 216)
Inequivalent atoms, fractional coordinates:
Be 0.000 0.000 0.000 x4
Ag 0.250 0.250 0.250 x4
Br 0.000 0.000 0.500 x4

4.
Material: BeAgBr
Method: DFT, GGA-PBEsol
State: relaxed

energy relative to the elements, uncorrected = 0.307 eV per atom
D(E_F) = 0.2155 states/eV per atom
magnetic moment = 0.00 μB/f.u.
E_tot = -2.753 eV/atom
polymorph energy (0 for the lowest one) = 0.000 eV per atom

abc: 3.054 3.054 11.724
angles: 90.00 90.00 90.00
Space group I4mm (No. 107)
Inequivalent atoms, fractional coordinates:
Be 0.000 0.000 0.000 x2
Ag 0.000 0.000 0.377 x2
Br 0.000 0.000 0.620 x2

> Which formula does entry 4 have?

BeAgBr

> The lowest D(E_F) belongs to which entry?

number 3

> Among the records above, which one has the lowest D(E_F)?

number 3